(1)
! ZnInW, optimized geometry, DFT PBE; values from VASP
! * SG: No. 187
! * energy: -15.31 eV/cell
! * V: 17.20 Å³ per atom
! * total magnetization: 0.0 μB per formula unit
! * E_form: 0.552 eV/atom
&SYSTEM
  ibrav = 0, nat = 3, ntyp = 3
/
ATOMIC_SPECIES
Zn 65.41 Zn.upf
In 114.82 In.upf
W 183.84 W.upf
ATOMIC_POSITIONS crystal
Zn 0.000 0.000 0.000
In 0.333 0.667 0.000
W 0.667 0.333 0.500
CELL_PARAMETERS angstrom
4.623 0.000 0.000
-2.312 4.004 0.000
0.000 0.000 2.787

(2)
! Pm8SmCd2, optimized geometry, DFT PBE; values from VASP
! * SG: No. 12
! * energy: -45.35 eV/cell
! * V: 32.21 Å³ per atom
! * total magnetization: 0.0 μB per formula unit
! * E_form: -0.072 eV/atom
&SYSTEM
  ibrav = 0, nat = 11, ntyp = 3
/
ATOMIC_SPECIES
Pm 145.00 Pm.upf
Sm 150.36 Sm.upf
Cd 112.41 Cd.upf
ATOMIC_POSITIONS crystal
Pm 0.054 0.054 0.238
Pm 0.150 0.150 0.707
Pm 0.312 0.312 0.544
Pm 0.398 0.398 0.032
Pm 0.602 0.602 0.968
Pm 0.688 0.688 0.456
Pm 0.850 0.850 0.293
Pm 0.946 0.946 0.762
Sm 0.500 0.500 0.500
Cd 0.222 0.222 0.131
Cd 0.778 0.778 0.869
CELL_PARAMETERS angstrom
8.475 -2.706 0.000
8.475 2.706 0.000
-3.553 0.000 7.724